## Ac2La2In4Au (PBE-GGA)

Data for a relaxed Ac2La2In4Au crystal.

Values from the calculation:
Space group: I4/mmm
Formation energy: -0.3701 eV per atom

Cell: 7.3151 7.3151 7.3151 Å, 115.68 115.68 97.66°
With the nearest neighbours (Å) after each atom.
Sites, in units of the cell vectors:
Ac 0.2500 0.7500 0.5000  8 In 3.66, 4 La 3.93
Ac 0.7500 0.2500 0.5000  8 In 3.66, 4 La 3.93
La 0.1915 0.1915 0.0000  1 Au 2.97
La 0.8085 0.8085 0.0000  1 Au 2.97
In 0.2520 0.2520 0.5040  1 Au 2.73
In 0.2520 0.7480 0.0000  1 Au 2.73
In 0.7480 0.2520 0.0000  1 Au 2.73
In 0.7480 0.7480 0.4960  1 Au 2.73
Au 0.5000 0.5000 0.0000  4 In 2.73, 2 La 2.97